Compound: SrLi2Cd
Source: the Alexandria database
Functional: PBEsol
Structure: relaxed

Cell: 4.7343 4.7343 5.0118 Å, 90.00 90.00 90.00°
Closest atoms and distances in Å follow each position.
Fractional positions:
1 Sr 0.0000 0.0000 0.0000  4 Cd 3.35, 8 Li 3.45
2 Li 0.0000 0.5000 0.5000  4 Li 3.35, 4 Cd 3.45, 4 Sr 3.45
3 Li 0.5000 0.0000 0.5000  4 Li 3.35, 4 Cd 3.45, 4 Sr 3.45
4 Cd 0.5000 0.5000 0.0000  4 Sr 3.35, 8 Li 3.45

Values from the calculation:
Total magnetic moment, μB per formula unit: 0.0
Space group: P4/mmm

***

Compound: Sr2LiCd
Source: the Alexandria database
Functional: PBEsol
Structure: relaxed

Cell: 3.9196 3.9196 8.6661 Å, 90.00 90.00 90.00°
Closest atoms and distances in Å follow each position.
Fractional positions:
1 Sr 0.0000 0.0000 0.0000  1 Cd 3.41, 4 Li 3.57
2 Sr 0.5000 0.5000 0.3693  1 Li 3.22, 4 Cd 3.45
3 Li 0.5000 0.5000 0.7409  4 Cd 3.01, 1 Sr 3.22
4 Cd 0.0000 0.0000 0.6059  4 Li 3.01

Values from the calculation:
Total magnetic moment, μB per formula unit: 0.0
Space group: P4mm

***

Compound: Sr2LiCd
Source: the Alexandria database
Functional: PBEsol
Structure: relaxed

Cell: 8.1570 8.1570 8.1570 Å, 33.75 33.75 33.75°
Closest atoms and distances in Å follow each position.
Fractional positions:
1 Sr 0.0000 0.0000 0.0000  3 Li 3.47, 3 Cd 3.47
2 Sr 0.1849 0.1849 0.1849  3 Cd 3.46, 3 Li 3.46
3 Li 0.7593 0.7593 0.7593  3 Cd 2.73
4 Cd 0.4260 0.4260 0.4260  3 Li 2.73

Values from the calculation:
Total magnetic moment, μB per formula unit: 0.0
Space group: R3m

***

Compound: SrLi4Cd
Source: the Alexandria database
Functional: PBEsol
Structure: relaxed

Cell: 5.7564 5.7564 5.7564 Å, 60.00 60.00 60.00°
Closest atoms and distances in Å follow each position.
Fractional positions:
1 Sr 0.0000 0.0000 0.0000  12 Li 3.38, 4 Cd 3.53
2 Li 0.3780 0.3780 0.3780  6 Li 2.81-2.95
3 Li 0.3780 0.3780 0.8659  6 Li 2.81-2.95
4 Li 0.3780 0.8659 0.3780  6 Li 2.81-2.95
5 Li 0.8659 0.3780 0.3780  6 Li 2.81-2.95
6 Cd 0.7500 0.7500 0.7500  12 Li 3.37, 4 Sr 3.53

Values from the calculation:
Total magnetic moment, μB per formula unit: 0.0
Space group: F-43m

***

no.,formation energy from the elements (eV per atom),electronic total energy (eV/atom),V (Å³/cell)
1,-0.030,-1.773,112
2,-0.132,-1.843,133
3,-0.112,-1.823,149
4,-0.076,-1.893,135